Record 1
Compound: Cs6Rb6Na
Source: Alexandria via LeMat-Bulk
Functional: PBE
Structure: optimized geometry

Calculated values
energy of formation from the pure elements	58	meV/atom
raw total energy	-0.884	eV per atom
size of the total moment	0.000	μB/f.u.
theoretical density	1.65	Mg/m³

Cell: 9.436 9.436 17.429 Å, 90.00 90.00 120.00°
Sites, in units of the cell vectors:
Cs  0.000  0.000  0.149
Cs  0.000  0.000  0.851
Cs  0.333  0.667  0.000
Cs  0.333  0.667  0.500
Cs  0.667  0.333  0.000
Cs  0.667  0.333  0.500
Rb  0.000  0.500  0.259
Rb  0.000  0.500  0.741
Rb  0.500  0.000  0.259
Rb  0.500  0.000  0.741
Rb  0.500  0.500  0.259
Rb  0.500  0.500  0.741
Na  0.000  0.000  0.500

Record 2
Compound: Cs2Rb3Na3
Source: Alexandria via LeMat-Bulk
Functional: PBE
Structure: optimized geometry

Calculated values
energy of formation from the pure elements	40	meV/atom
raw total energy	-1.030	eV per atom
size of the total moment	0.000	μB/f.u.
theoretical density	1.64	Mg/m³

Cell: 12.444 12.444 8.938 Å, 90.00 90.00 120.00°
Sites, in units of the cell vectors:
Cs  0.333  0.667  0.000
Cs  0.333  0.667  0.500
Cs  0.667  0.333  0.000
Cs  0.667  0.333  0.500
Rb  0.000  0.246  0.250
Rb  0.000  0.754  0.750
Rb  0.246  0.000  0.250
Rb  0.246  0.246  0.750
Rb  0.754  0.000  0.750
Rb  0.754  0.754  0.250
Na  0.000  0.398  0.750
Na  0.000  0.602  0.250
Na  0.398  0.000  0.750
Na  0.398  0.398  0.250
Na  0.602  0.000  0.250
Na  0.602  0.602  0.750

Record 3
Compound: Cs12Rb4Na
Source: Alexandria via LeMat-Bulk
Functional: PBE
Structure: optimized geometry

Calculated values
energy of formation from the pure elements	205	meV/atom
raw total energy	-0.702	eV per atom
size of the total moment	0.929	μB/f.u.
theoretical density	1.09	Mg/m³

Cell: 15.735 15.735 15.735 Å, 109.47 109.47 109.47°
Sites, in units of the cell vectors:
Cs  0.000  0.348  0.652
Cs  0.000  0.652  0.348
Cs  0.304  0.652  0.652
Cs  0.348  0.000  0.652
Cs  0.348  0.348  0.696
Cs  0.348  0.652  0.000
Cs  0.348  0.696  0.348
Cs  0.652  0.000  0.348
Cs  0.652  0.304  0.652
Cs  0.652  0.348  0.000
Cs  0.652  0.652  0.304
Cs  0.696  0.348  0.348
Rb  0.000  0.000  0.500
Rb  0.000  0.500  0.000
Rb  0.500  0.000  0.000
Rb  0.500  0.500  0.500
Na  0.000  0.000  0.000

Record 4
Compound: Cs5Rb12Na3
Source: Alexandria via LeMat-Bulk
Functional: PBE
Structure: optimized geometry

Calculated values
energy of formation from the pure elements	163	meV/atom
raw total energy	-0.829	eV per atom
size of the total moment	0.000	μB/f.u.
theoretical density	1.33	Mg/m³

Cell: 22.508 22.508 22.508 Å, 109.47 109.47 109.47°
Sites, in units of the cell vectors:
Cs  0.000  0.000  0.000
Cs  0.000  0.000  0.500
Cs  0.000  0.500  0.000
Cs  0.000  0.500  0.500
Cs  0.125  0.750  0.875
Cs  0.125  0.875  0.250
Cs  0.250  0.125  0.875
Cs  0.250  0.625  0.375
Cs  0.375  0.250  0.625
Cs  0.375  0.625  0.750
Cs  0.500  0.000  0.000
Cs  0.500  0.000  0.500
Cs  0.500  0.500  0.000
Cs  0.500  0.500  0.500
Cs  0.625  0.375  0.250
Cs  0.625  0.750  0.375
Cs  0.750  0.375  0.625
Cs  0.750  0.875  0.125
Cs  0.875  0.125  0.750
Cs  0.875  0.250  0.125
Rb  0.050  0.636  0.389
Rb  0.050  0.914  0.661
Rb  0.086  0.247  0.136
Rb  0.086  0.339  0.950
Rb  0.111  0.747  0.661
Rb  0.111  0.864  0.450
Rb  0.136  0.086  0.247
Rb  0.136  0.550  0.889
Rb  0.161  0.247  0.611
Rb  0.161  0.414  0.550
Rb  0.247  0.136  0.086
Rb  0.247  0.611  0.161
Rb  0.253  0.339  0.889
Rb  0.253  0.414  0.364
Rb  0.339  0.889  0.253
Rb  0.339  0.950  0.086
Rb  0.364  0.253  0.414
Rb  0.364  0.611  0.950
Rb  0.389  0.050  0.636
Rb  0.389  0.839  0.753
Rb  0.414  0.364  0.253
Rb  0.414  0.550  0.161
Rb  0.450  0.111  0.864
Rb  0.450  0.839  0.586
Rb  0.550  0.161  0.414
Rb  0.550  0.889  0.136
Rb  0.586  0.450  0.839
Rb  0.586  0.636  0.747
Rb  0.611  0.161  0.247
Rb  0.611  0.950  0.364
Rb  0.636  0.389  0.050
Rb  0.636  0.747  0.586
Rb  0.661  0.050  0.914
Rb  0.661  0.111  0.747
Rb  0.747  0.586  0.636
Rb  0.747  0.661  0.111
Rb  0.753  0.389  0.839
Rb  0.753  0.864  0.914
Rb  0.839  0.586  0.450
Rb  0.839  0.753  0.389
Rb  0.864  0.450  0.111
Rb  0.864  0.914  0.753
Rb  0.889  0.136  0.550
Rb  0.889  0.253  0.339
Rb  0.914  0.661  0.050
Rb  0.914  0.753  0.864
Rb  0.950  0.086  0.339
Rb  0.950  0.364  0.611
Na  0.125  0.250  0.375
Na  0.125  0.375  0.750
Na  0.250  0.375  0.125
Na  0.250  0.875  0.625
Na  0.375  0.125  0.250
Na  0.375  0.750  0.125
Na  0.625  0.250  0.875
Na  0.625  0.875  0.750
Na  0.750  0.125  0.375
Na  0.750  0.625  0.875
Na  0.875  0.625  0.250
Na  0.875  0.750  0.625

Record 5
Compound: Cs12Rb5Na2
Source: Alexandria via LeMat-Bulk
Functional: PBE
Structure: optimized geometry

Calculated values
energy of formation from the pure elements	24	meV/atom
raw total energy	-0.909	eV per atom
size of the total moment	0.000	μB/f.u.
theoretical density	1.78	Mg/m³

Cell: 14.334 14.334 14.051 Å, 100.08 100.08 42.87°
Sites, in units of the cell vectors:
Cs  0.001  0.001  0.191
Cs  0.096  0.587  0.974
Cs  0.114  0.590  0.598
Cs  0.410  0.886  0.402
Cs  0.413  0.904  0.026
Cs  0.459  0.459  0.317
Cs  0.541  0.541  0.683
Cs  0.587  0.096  0.974
Cs  0.590  0.114  0.598
Cs  0.886  0.410  0.402
Cs  0.904  0.413  0.026
Cs  0.999  0.999  0.809
Rb  0.174  0.174  0.707
Rb  0.279  0.279  0.273
Rb  0.500  0.500  0.000
Rb  0.721  0.721  0.727
Rb  0.826  0.826  0.293
Na  0.161  0.839  0.500
Na  0.839  0.161  0.500

Record 6
Compound: CsRb2Na
Source: Alexandria via LeMat-Bulk
Functional: PBE
Structure: optimized geometry

Calculated values
energy of formation from the pure elements	83	meV/atom
raw total energy	-0.944	eV per atom
excess energy over the best structure of this formula in the dataset	6.5	kJ per mole of atoms
size of the total moment	0.000	μB/f.u.
theoretical density	1.60	Mg/m³

Cell: 17.017 17.017 17.017 Å, 158.24 158.24 30.96°
Sites, in units of the cell vectors:
Cs  0.000  0.000  0.000
Cs  0.750  0.250  0.500
Rb  0.144  0.625  0.019
Rb  0.375  0.394  0.519
Rb  0.606  0.125  0.981
Rb  0.875  0.856  0.481
Na  0.250  0.750  0.500
Na  0.500  0.500  0.000

Record 7
Compound: Cs2Rb5Na2
Source: Alexandria via LeMat-Bulk
Functional: PBE
Structure: optimized geometry

Calculated values
energy of formation from the pure elements	59	meV/atom
raw total energy	-0.961	eV per atom
excess energy over the best structure of this formula in the dataset	0.6	kJ per mole of atoms
size of the total moment	0.000	μB/f.u.
theoretical density	1.59	Mg/m³

Cell: 12.255 12.255 16.764 Å, 127.75 127.75 23.05°
Sites, in units of the cell vectors:
Cs  0.134  0.134  0.328
Cs  0.866  0.866  0.672
Rb  0.196  0.196  0.059
Rb  0.380  0.380  0.415
Rb  0.500  0.500  0.000
Rb  0.620  0.620  0.585
Rb  0.804  0.804  0.941
Na  0.438  0.438  0.220
Na  0.562  0.562  0.780

Record 8
Compound: CsRbNa14
Source: Alexandria via LeMat-Bulk
Functional: PBE
Structure: optimized geometry

Calculated values
energy of formation from the pure elements	37	meV/atom
raw total energy	-1.231	eV per atom
size of the total moment	0.000	μB/f.u.
theoretical density	1.28	Mg/m³

Cell: 8.388 8.388 9.962 Å, 90.00 90.00 90.00°
Sites, in units of the cell vectors:
Cs  0.000  0.000  0.000
Rb  0.500  0.500  0.000
Na  0.000  0.000  0.500
Na  0.000  0.500  0.000
Na  0.000  0.500  0.500
Na  0.253  0.253  0.292
Na  0.253  0.253  0.708
Na  0.253  0.747  0.292
Na  0.253  0.747  0.708
Na  0.500  0.000  0.000
Na  0.500  0.000  0.500
Na  0.500  0.500  0.500
Na  0.747  0.253  0.292
Na  0.747  0.253  0.708
Na  0.747  0.747  0.292
Na  0.747  0.747  0.708

Record 9
Compound: CsRb2Na
Source: Alexandria via LeMat-Bulk
Functional: PBE
Structure: optimized geometry

Calculated values
energy of formation from the pure elements	36	meV/atom
raw total energy	-0.991	eV per atom
excess energy over the best structure of this formula in the dataset	2.0	kJ per mole of atoms
size of the total moment	0.000	μB/f.u.
theoretical density	1.69	Mg/m³

Cell: 6.688 6.688 7.195 Å, 90.00 90.00 90.00°
Sites, in units of the cell vectors:
Cs  0.000  0.000  0.000
Rb  0.000  0.500  0.500
Rb  0.500  0.000  0.500
Na  0.500  0.500  0.000

Record 10
Compound: CsRb12Na5
Source: Alexandria via LeMat-Bulk
Functional: PBE
Structure: optimized geometry

Calculated values
energy of formation from the pure elements	29	meV/atom
raw total energy	-1.029	eV per atom
size of the total moment	0.000	μB/f.u.
theoretical density	1.53	Mg/m³

Cell: 12.267 12.267 12.267 Å, 118.48 109.90 100.53°
Sites, in units of the cell vectors:
Cs  0.000  0.000  0.000
Rb  0.109  0.811  0.298
Rb  0.230  0.314  0.544
Rb  0.230  0.686  0.916
Rb  0.268  0.070  0.802
Rb  0.268  0.466  0.198
Rb  0.487  0.189  0.298
Rb  0.513  0.811  0.702
Rb  0.732  0.534  0.802
Rb  0.732  0.930  0.198
Rb  0.770  0.314  0.084
Rb  0.770  0.686  0.456
Rb  0.891  0.189  0.702
Na  0.113  0.613  0.500
Na  0.500  0.142  0.642
Na  0.500  0.500  0.000
Na  0.500  0.858  0.358
Na  0.887  0.387  0.500

Record 11
Compound: CsRb7Na5
Source: Alexandria via LeMat-Bulk
Functional: PBE
Structure: optimized geometry

Calculated values
energy of formation from the pure elements	31	meV/atom
raw total energy	-1.063	eV per atom
size of the total moment	0.000	μB/f.u.
theoretical density	1.56	Mg/m³

Cell: 11.265 11.265 11.265 Å, 137.29 99.04 96.20°
Sites, in units of the cell vectors:
Cs  0.000  0.000  0.000
Rb  0.224  0.528  0.696
Rb  0.259  0.759  0.500
Rb  0.362  0.362  0.000
Rb  0.387  0.046  0.341
Rb  0.681  0.681  0.000
Rb  0.704  0.046  0.659
Rb  0.833  0.528  0.304
Na  0.024  0.034  0.478
Na  0.024  0.546  0.989
Na  0.556  0.034  0.011
Na  0.556  0.546  0.522
Na  0.806  0.306  0.500

Record 12
Compound: Cs12Rb2Na7
Source: Alexandria via LeMat-Bulk
Functional: PBE
Structure: optimized geometry

Calculated values
energy of formation from the pure elements	41	meV/atom
raw total energy	-0.979	eV per atom
size of the total moment	0.000	μB/f.u.
theoretical density	1.83	Mg/m³

Cell: 19.885 19.885 5.101 Å, 90.00 90.00 120.00°
Sites, in units of the cell vectors:
Cs  0.075  0.444  0.257
Cs  0.109  0.852  0.729
Cs  0.148  0.256  0.729
Cs  0.256  0.109  0.271
Cs  0.369  0.925  0.257
Cs  0.444  0.369  0.743
Cs  0.556  0.631  0.257
Cs  0.631  0.075  0.743
Cs  0.744  0.891  0.729
Cs  0.852  0.744  0.271
Cs  0.891  0.148  0.271
Cs  0.925  0.556  0.743
Rb  0.333  0.667  0.739
Rb  0.667  0.333  0.261
Na  0.000  0.000  0.000
Na  0.154  0.691  0.231
Na  0.309  0.463  0.231
Na  0.463  0.154  0.769
Na  0.537  0.846  0.231
Na  0.691  0.537  0.769
Na  0.846  0.309  0.769

Record 13
Compound: Cs5Rb2Na
Source: Alexandria via LeMat-Bulk
Functional: PBE
Structure: optimized geometry

Calculated values
energy of formation from the pure elements	17	meV/atom
raw total energy	-0.924	eV per atom
size of the total moment	0.000	μB/f.u.
theoretical density	1.81	Mg/m³

Cell: 12.466 23.360 5.396 Å, 90.00 90.00 90.00°
Sites, in units of the cell vectors:
Cs  0.000  0.000  0.000
Cs  0.000  0.230  0.000
Cs  0.000  0.770  0.000
Cs  0.202  0.391  0.500
Cs  0.298  0.891  0.500
Cs  0.500  0.270  0.000
Cs  0.500  0.500  0.000
Cs  0.500  0.730  0.000
Cs  0.702  0.109  0.500
Cs  0.798  0.609  0.500
Rb  0.204  0.610  0.500
Rb  0.296  0.110  0.500
Rb  0.704  0.890  0.500
Rb  0.796  0.390  0.500
Na  0.000  0.500  0.000
Na  0.500  0.000  0.000

Record 14
Compound: CsRb3Na2
Source: Alexandria via LeMat-Bulk
Functional: PBE
Structure: optimized geometry

Calculated values
energy of formation from the pure elements	29	meV/atom
raw total energy	-1.036	eV per atom
excess energy over the best structure of this formula in the dataset	0.0	kJ per mole of atoms
size of the total moment	0.000	μB/f.u.
theoretical density	1.54	Mg/m³

Cell: 12.042 12.042 16.509 Å, 122.50 122.50 28.07°
Sites, in units of the cell vectors:
Cs  0.144  0.144  0.225
Cs  0.856  0.856  0.775
Rb  0.147  0.147  0.730
Rb  0.425  0.425  0.075
Rb  0.427  0.427  0.565
Rb  0.573  0.573  0.435
Rb  0.575  0.575  0.925
Rb  0.853  0.853  0.270
Na  0.230  0.230  0.543
Na  0.233  0.233  0.045
Na  0.767  0.767  0.955
Na  0.770  0.770  0.457

Record 15
Compound: Cs6RbNa8
Source: Alexandria via LeMat-Bulk
Functional: PBE
Structure: optimized geometry

Calculated values
energy of formation from the pure elements	49	meV/atom
raw total energy	-1.061	eV per atom
size of the total moment	0.000	μB/f.u.
theoretical density	1.69	Mg/m³

Cell: 10.755 10.755 10.755 Å, 69.05 69.05 69.05°
Sites, in units of the cell vectors:
Cs  0.096  0.341  0.851
Cs  0.149  0.904  0.659
Cs  0.341  0.851  0.096
Cs  0.659  0.149  0.904
Cs  0.851  0.096  0.341
Cs  0.904  0.659  0.149
Rb  0.500  0.500  0.500
Na  0.071  0.639  0.465
Na  0.313  0.313  0.313
Na  0.361  0.535  0.929
Na  0.465  0.071  0.639
Na  0.535  0.929  0.361
Na  0.639  0.465  0.071
Na  0.687  0.687  0.687
Na  0.929  0.361  0.535

Record 16
Compound: CsRb5Na3
Source: Alexandria via LeMat-Bulk
Functional: PBE
Structure: optimized geometry

Calculated values
energy of formation from the pure elements	32	meV/atom
raw total energy	-1.040	eV per atom
size of the total moment	0.000	μB/f.u.
theoretical density	1.60	Mg/m³

Cell: 12.738 12.738 9.281 Å, 90.00 90.00 120.00°
Sites, in units of the cell vectors:
Cs  0.000  0.000  0.000
Cs  0.000  0.000  0.500
Rb  0.000  0.339  0.250
Rb  0.000  0.661  0.750
Rb  0.333  0.667  0.000
Rb  0.333  0.667  0.500
Rb  0.339  0.000  0.250
Rb  0.339  0.339  0.750
Rb  0.661  0.000  0.750
Rb  0.661  0.661  0.250
Rb  0.667  0.333  0.000
Rb  0.667  0.333  0.500
Na  0.000  0.332  0.750
Na  0.000  0.668  0.250
Na  0.332  0.000  0.750
Na  0.332  0.332  0.250
Na  0.668  0.000  0.250
Na  0.668  0.668  0.750